Material: BaSiAg2TeS3
Method: DFT, PBE
State: relaxed

Cell lengths 6.3753, 6.3998, 6.5417 Å; angles 115.08, 112.47, 98.00 degrees
Positions (direct):
Ba (0.0000, 0.0000, 0.0000)
Si (0.4422, 0.4395, 0.9251)
Ag (0.3155, 0.7711, 0.4576)
Ag (0.6826, 0.1906, 0.4947)
Te (0.8139, 0.7918, 0.3434)
S (0.1309, 0.4976, 0.9587)
S (0.4366, 0.4421, 0.5958)
S (0.4853, 0.1165, 0.9296)

The uncorrected energy is -4.353 eV per atom. The calculated density comes out at 4819 kg/m³.


Material: ScCdGa2Br6
Method: DFT, PBE
State: relaxed

Cell lengths 7.8470, 7.8470, 7.8470 Å; angles 60.00, 60.00, 60.00 degrees
Positions (direct):
Sc (0.0000, 0.0000, 0.0000)
Cd (0.5000, 0.5000, 0.5000)
Ga (0.2500, 0.2500, 0.2500)
Ga (0.7500, 0.7500, 0.7500)
Br (0.2392, 0.2392, 0.7608)
Br (0.2392, 0.7608, 0.2392)
Br (0.2392, 0.7608, 0.7608)
Br (0.7608, 0.2392, 0.2392)
Br (0.7608, 0.2392, 0.7608)
Br (0.7608, 0.7608, 0.2392)

The uncorrected energy is -3.139 eV per atom. The calculated density comes out at 3773 kg/m³.


Material: LiFeOsAu
Method: DFT, PBE
State: relaxed

Cell lengths 4.2551, 4.2551, 4.2551 Å; angles 60.00, 60.00, 60.00 degrees
Positions (direct):
Li (0.0000, 0.0000, 0.0000)
Fe (0.5000, 0.5000, 0.5000)
Os (0.2500, 0.2500, 0.2500)
Au (0.7500, 0.7500, 0.7500)

The value obtained for the energy relative to the lowest polymorph listed for this composition is 0.0 kJ/mol of formula units. The calculated density comes out at 13716 kg/m³.


Material: Gd3PaF
Method: DFT, PBE
State: relaxed

Cell lengths 4.9308, 4.9308, 4.9308 Å; angles 90.00, 90.00, 90.00 degrees
Positions (direct):
Gd (0.0000, 0.0000, 0.5000)
Gd (0.0000, 0.5000, 0.0000)
Gd (0.5000, 0.0000, 0.0000)
Pa (0.5000, 0.5000, 0.5000)
F (0.0000, 0.0000, 0.0000)

The uncorrected energy is -5.797 eV per atom. The calculated density comes out at 9998 kg/m³.


Material: YCoSi
Method: DFT, PBE
State: relaxed

Cell lengths 7.6947, 7.6947, 3.1403 Å; angles 90.00, 90.00, 120.00 degrees
Positions (direct):
Y (0.0000, 0.2894, 0.0000)
Y (0.2894, 0.0000, 0.0000)
Y (0.7106, 0.7106, 0.0000)
Co (0.0000, 0.5978, 0.5000)
Co (0.4022, 0.4022, 0.5000)
Co (0.5978, 0.0000, 0.5000)
Si (0.0000, 0.0000, 0.5000)
Si (0.3333, 0.6667, 0.0000)
Si (0.6667, 0.3333, 0.0000)

The uncorrected energy is -6.282 eV per atom. The calculated density comes out at 5443 kg/m³.


Material: HfBW2
Method: DFT, PBE
State: relaxed

Cell lengths 4.4031, 4.4031, 4.4031 Å; angles 60.00, 60.00, 60.00 degrees
Positions (direct):
Hf (0.0000, 0.0000, 0.0000)
B (0.7500, 0.7500, 0.7500)
W (0.2500, 0.2500, 0.2500)
W (0.5000, 0.5000, 0.5000)

The uncorrected energy is -10.105 eV per atom. The calculated density comes out at 15322 kg/m³.


Material: NaYHfPt
Method: DFT, PBE
State: relaxed

Cell lengths 4.9289, 4.9289, 4.9289 Å; angles 60.00, 60.00, 60.00 degrees
Positions (direct):
Na (0.0000, 0.0000, 0.0000)
Y (0.7500, 0.7500, 0.7500)
Hf (0.2500, 0.2500, 0.2500)
Pt (0.5000, 0.5000, 0.5000)

The value obtained for the energy relative to the lowest polymorph listed for this composition is 0.0 kJ/mol of formula units. The calculated density comes out at 9521 kg/m³.


Material: PmInCo
Method: DFT, PBE
State: relaxed

Cell lengths 4.6098, 4.6098, 4.6098 Å; angles 60.00, 60.00, 60.00 degrees
Positions (direct):
Pm (0.0000, 0.0000, 0.0000)
In (0.5000, 0.5000, 0.5000)
Co (0.7500, 0.7500, 0.7500)

The value obtained for the energy relative to the lowest polymorph listed for this composition is 0.0 kJ/mol of formula units. The calculated density comes out at 7641 kg/m³.


Material: Re2Cl
Method: DFT, PBE
State: relaxed

Cell lengths 5.2885, 5.2885, 5.2885 Å; angles 60.00, 60.00, 60.00 degrees
Positions (direct):
Re (0.0000, 0.0000, 0.0000)
Re (0.0000, 0.0000, 0.5000)
Re (0.0000, 0.5000, 0.0000)
Re (0.5000, 0.0000, 0.0000)
Cl (0.3750, 0.3750, 0.3750)
Cl (0.6250, 0.6250, 0.6250)

The value obtained for the energy relative to the lowest polymorph listed for this composition is 0.0 kJ/mol of formula units. The calculated density comes out at 12951 kg/m³.


Material: PrHfIn
Method: DFT, PBE
State: relaxed

Cell lengths 5.1365, 5.1365, 5.1365 Å; angles 60.00, 60.00, 60.00 degrees
Positions (direct):
Pr (0.0000, 0.0000, 0.0000)
Hf (0.7500, 0.7500, 0.7500)
In (0.2500, 0.2500, 0.2500)

The value obtained for the energy relative to the lowest polymorph listed for this composition is 155.0 kJ/mol of formula units. The calculated density comes out at 7524 kg/m³.


Material: Sc2SiAg2Ge
Method: DFT, PBE
State: relaxed

Cell lengths 10.8037, 4.4101, 10.8041 Å; angles 90.00, 109.47, 90.00 degrees
Positions (direct):
Sc (0.0000, 0.0000, 0.0000)
Sc (0.1214, 0.5000, 0.3747)
Sc (0.2464, 0.0000, 0.7481)
Sc (0.3751, 0.5000, 0.1269)
Sc (0.4982, 0.0000, 0.5014)
Sc (0.6233, 0.5000, 0.8732)
Sc (0.7482, 0.0000, 0.2501)
Sc (0.8729, 0.5000, 0.6246)
Si (0.2487, 0.0000, 0.2500)
Si (0.6233, 0.5000, 0.3751)
Si (0.7479, 0.0000, 0.7494)
Si (0.9977, 0.0000, 0.4995)
Ag (0.1270, 0.5000, 0.1285)
Ag (0.2447, 0.0000, 0.4960)
Ag (0.3731, 0.5000, 0.8750)
Ag (0.4987, 0.0000, 0.2540)
Ag (0.6263, 0.5000, 0.6243)
Ag (0.7487, 0.0000, 0.9966)
Ag (0.8726, 0.5000, 0.3778)
Ag (0.9945, 0.0000, 0.7465)
Ge (0.1227, 0.5000, 0.8749)
Ge (0.3731, 0.5000, 0.6243)
Ge (0.4986, 0.0000, 0.0007)
Ge (0.8736, 0.5000, 0.1253)

The uncorrected energy is -5.057 eV per atom. The calculated density comes out at 5562 kg/m³.


Material: NaNpCd
Method: DFT, PBE
State: relaxed

Cell lengths 5.0329, 5.0329, 5.0329 Å; angles 60.00, 60.00, 60.00 degrees
Positions (direct):
Na (0.0000, 0.0000, 0.0000)
Np (0.2500, 0.2500, 0.2500)
Cd (0.7500, 0.7500, 0.7500)

The uncorrected energy is -3.952 eV per atom. The calculated density comes out at 6860 kg/m³.